Here is an optimized crystal structure of TaSi2Ru from Alexandria via LeMat-Bulk. Energies are from GGA-PBEsol.

As for the formation energy from raw total energies: -1.53 eV/f.u. The calculation puts the total magnetization at 0.000 Bohr magnetons per cell. The volume comes out at 55.14 Å³/cell.

The space group is P4/mmm (No. 123) and the conventional cell measures 4.335, 4.335 and 2.934 Å, with angles of 90.00, 90.00 and 90.00 degrees. The distinct sites, in fractional coordinates, are Ta at (0.000, 0.000, 0.000), Si at (0.000, 0.500, 0.500) and Ru at (0.500, 0.500, 0.000).

---

Here is an optimized crystal structure of CuNi2W from Alexandria via LeMat-Bulk. Energies are from GGA-PBEsol.

The calculation puts the total magnetization at 0.025 Bohr magnetons per cell. As for the relative energy among the computed polymorphs: 0.218 eV/atom. The calculation puts the calculated formation energy at 211 meV/atom. The volume comes out at 147.22 Å³/cell.

The space group is R3m (No. 160, hexagonal axes) and the conventional cell measures 2.6180, 2.6180 and 24.8032 Å, with angles of 90.00, 90.00 and 120.00 degrees. The distinct sites, in fractional coordinates, are Cu at (0.0000, 0.0000, 0.0000), Ni at (0.0000, 0.0000, 0.4912), Ni at (0.0000, 0.0000, 0.7458) and W at (0.0000, 0.0000, 0.2423).

---

Here is an optimized crystal structure of YSiSe2 from Alexandria via LeMat-Bulk. Energies are from GGA-PBEsol.

As for the formation energy from raw total energies: -4.13 eV/f.u. The calculation puts the total magnetization at 0.000 Bohr magnetons per cell. As for the relative energy among the computed polymorphs: 0.000 eV/atom. The volume comes out at 83.30 Å³/cell.

The space group is Pm (No. 6) and the conventional cell measures 3.967, 3.995 and 5.618 Å, with angles of 90.00, 110.66 and 90.00 degrees. The distinct sites, in fractional coordinates, are Y at (0.000, 0.000, 0.000), Si at (0.804, 0.500, 0.612), Se at (0.298, 0.000, 0.596) and Se at (0.582, 0.500, 0.165).

---

Here is an optimized crystal structure of BaAg3 from Alexandria via LeMat-Bulk. Energies are from GGA-PBEsol.

The calculation puts the total magnetization at 0.000 Bohr magnetons per cell. As for the relative energy among the computed polymorphs: 0.000 eV/atom. The calculation puts the calculated formation energy at -160 meV/atom. The volume comes out at 389.31 Å³/cell.

The space group is Pnma (No. 62) and the conventional cell measures 8.259, 7.623 and 6.183 Å, with angles of 90.00, 90.00 and 90.00 degrees. The distinct sites, in fractional coordinates, are Ba at (0.028, 0.250, 0.121), Ag at (0.134, 0.750, 0.353) and Ag at (0.159, 0.063, 0.582).

---

Here is an optimized crystal structure of Li2YCu from Alexandria via LeMat-Bulk. Energies are from GGA-PBEsol.

The calculation puts the total magnetization at 0.001 Bohr magnetons per cell. As for the relative energy among the computed polymorphs: 0.000 eV/atom. The calculation puts the calculated formation energy at 72 meV/atom. The volume comes out at 148.28 Å³/cell.

The space group is Cm (No. 8) and the conventional cell measures 7.757, 4.447 and 5.000 Å, with angles of 90.00, 120.71 and 90.00 degrees. The distinct sites, in fractional coordinates, are Li at (0.000, 0.000, 0.000), Li at (0.232, 0.500, 0.197), Y at (0.011, 0.500, 0.533) and Cu at (0.287, 0.000, 0.858).

---

Here is an optimized crystal structure of Ca4MnPt from Alexandria via LeMat-Bulk. Energies are from GGA-PBEsol.

The calculation puts the total magnetization at 17.826 Bohr magnetons per cell. The calculation puts the calculated formation energy at 782 meV/atom. The volume comes out at 623.92 Å³/cell.

The space group is F-43m (No. 216) and the conventional cell measures 8.545, 8.545 and 8.545 Å, with angles of 90.00, 90.00 and 90.00 degrees. The distinct sites, in fractional coordinates, are Ca at (0.124, 0.124, 0.124), Mn at (0.000, 0.000, 0.500) and Pt at (0.250, 0.250, 0.750).

---

Here is an optimized crystal structure of LiH2BrO from Alexandria via LeMat-Bulk. Energies are from GGA-PBEsol.

The calculation puts the total magnetization at 0.000 Bohr magnetons per cell. The volume comes out at 487.73 Å³/cell.

The space group is Cmcm (No. 63) and the conventional cell measures 8.015, 7.819 and 7.782 Å, with angles of 90.00, 90.00 and 90.00 degrees. The distinct sites, in fractional coordinates, are Li at (0.000, 0.000, 0.000), Li at (0.000, 0.304, 0.250), H at (0.097, 0.310, 0.567), Br at (0.244, 0.032, 0.250) and O at (0.000, 0.259, 0.504).

---

Here is an optimized crystal structure of Ca2Al2Sb from Alexandria via LeMat-Bulk. Energies are from GGA-PBEsol.

As for the formation energy from raw total energies: -1.76 eV/f.u. The calculation puts the total magnetization at 0.000 Bohr magnetons per cell. The volume comes out at 252.27 Å³/cell.

The space group is P4/mbm (No. 127) and the conventional cell measures 7.343, 7.343 and 4.679 Å, with angles of 90.00, 90.00 and 90.00 degrees. The distinct sites, in fractional coordinates, are Ca at (0.172, 0.328, 0.000), Al at (0.125, 0.625, 0.500) and Sb at (0.000, 0.000, 0.500).

---

Here is an optimized crystal structure of NbBiPS2 from Alexandria via LeMat-Bulk. Energies are from GGA-PBEsol.

As for the formation energy from raw total energies: 6.19 eV/f.u. The calculation puts the total magnetization at 1.899 Bohr magnetons per cell. The volume comes out at 128.12 Å³/cell.

The space group is P4/mmm (No. 123) and the conventional cell measures 5.039, 5.039 and 5.046 Å, with angles of 90.00, 90.00 and 90.00 degrees. The distinct sites, in fractional coordinates, are Nb at (0.000, 0.000, 0.000), Bi at (0.500, 0.500, 0.500), P at (0.500, 0.500, 0.000) and S at (0.000, 0.500, 0.500).

---

Here is an optimized crystal structure of Gd3Ni19B10 from Alexandria via LeMat-Bulk. Energies are from GGA-PBEsol.

The calculation puts the total magnetization at 14.447 Bohr magnetons per cell. The calculation puts the calculated formation energy at -475 meV/atom. The volume comes out at 644.23 Å³/cell.

The space group is C2/m (No. 12) and the conventional cell measures 13.022, 8.654 and 5.718 Å, with angles of 90.00, 91.42 and 90.00 degrees. The distinct sites, in fractional coordinates, are Gd at (0.000, 0.000, 0.000), Gd at (0.125, 0.500, 0.389), Ni at (0.000, 0.000, 0.500), Ni at (0.030, 0.258, 0.699), Ni at (0.122, 0.500, 0.875), Ni at (0.128, 0.250, 0.074), Ni at (0.163, 0.000, 0.701), Ni at (0.183, 0.000, 0.270), Ni at (0.219, 0.264, 0.699), B at (0.000, 0.383, 0.000), B at (0.118, 0.181, 0.431) and B at (0.246, 0.104, 0.974).

---

Here is an optimized crystal structure of KTl2Pb2 from Alexandria via LeMat-Bulk. Energies are from GGA-PBEsol.

The calculation puts the total magnetization at 0.000 Bohr magnetons per cell. As for the relative energy among the computed polymorphs: 0.027 eV/atom. The calculation puts the calculated formation energy at -26 meV/atom. The volume comes out at 338.80 Å³/cell.

The space group is I4/mmm (No. 139) and the conventional cell measures 4.914, 4.914 and 14.029 Å, with angles of 90.00, 90.00 and 90.00 degrees. The distinct sites, in fractional coordinates, are K at (0.000, 0.000, 0.000), Tl at (0.000, 0.500, 0.250) and Pb at (0.000, 0.000, 0.388).

---

Here is an optimized crystal structure of BeCu4 from Alexandria via LeMat-Bulk. Energies are from GGA-PBEsol.

The calculation puts the total magnetization at 0.000 Bohr magnetons per cell. The calculation puts the calculated formation energy at -12 meV/atom. The volume comes out at 106.85 Å³/cell.

The space group is I4/m (No. 87) and the conventional cell measures 5.514, 5.514 and 3.515 Å, with angles of 90.00, 90.00 and 90.00 degrees. The distinct sites, in fractional coordinates, are Be at (0.000, 0.000, 0.000) and Cu at (0.103, 0.297, 0.500).

---

Asked for uncorrected energy across the records above, the calculation gives -8.9369 -7.4029 -6.1000 -3.1807 -3.7006 -3.4273 -4.4157 -3.7539 -4.6948 -7.6785 -2.9046 -4.2794 eV per atom in order.